Record 1
Entry from Alexandria: an optimized crystal structure of Al3PtSe (PBE).

Unit cell a=4.7758 b=4.7758 c=4.7758 alpha=90.00 beta=90.00 gamma=90.00
Fractional positions:
Se (0.0000, 0.0000, 0.0000)
Pt (0.5000, 0.5000, 0.5000)
Al (0.0000, 0.5000, 0.0000)
Al (0.0000, 0.0000, 0.5000)
Al (0.5000, 0.0000, 0.0000)

Electronic total energy in eV per atom: -3.47
Space-group type: No. 221
Crystal system: cubic
ΔE_f (raw) in eV/atom: 0.69
D(E_F) in states/eV per cell: 4.8
Mass density in g/cm³: 5.41
Total magnetic moment in μB/f.u.: 0.00
Energy relative to the lowest polymorph listed for this composition in meV per atom: 1033

=====

Record 2
Entry from Alexandria: an optimized crystal structure of AlPt2Se (PBE).

Unit cell a=6.6812 b=6.6812 c=6.6812 alpha=147.02 beta=154.14 gamma=42.37
Fractional positions:
Se (0.4527, 0.4527, 0.0000)
Pt (0.0705, 0.0705, 0.0000)
Pt (0.7745, 0.2745, 0.5000)
Al (0.2023, 0.7023, 0.5000)

Electronic total energy in eV per atom: -5.18
Space-group type: No. 44
Crystal system: orthorhombic
ΔE_f (raw) in eV/atom: -0.36
D(E_F) in states/eV per cell: 2.3
Mass density in g/cm³: 11.66
Total magnetic moment in μB/f.u.: 0.00

=====

Record 3
Entry from Alexandria: an optimized crystal structure of Al4PtSe (PBE).

Unit cell a=5.2717 b=5.2717 c=5.2717 alpha=60.00 beta=60.00 gamma=60.00
Fractional positions:
Al (0.8729, 0.3757, 0.3757)
Al (0.3757, 0.3757, 0.8729)
Al (0.3757, 0.8729, 0.3757)
Al (0.3757, 0.3757, 0.3757)
Pt (0.7500, 0.7500, 0.7500)
Se (0.0000, 0.0000, 0.0000)

Electronic total energy in eV per atom: -3.92
Space-group type: No. 216
Crystal system: cubic
ΔE_f (raw) in eV/atom: 0.17
D(E_F) in states/eV per cell: 3.8
Mass density in g/cm³: 6.12
Total magnetic moment in μB/f.u.: 0.00

=====

Record 4
Entry from Alexandria: an optimized crystal structure of AlPt2Se (PBE).

Unit cell a=4.0728 b=4.0728 c=6.2786 alpha=81.03 beta=81.03 gamma=41.78
Fractional positions:
Se (0.7500, 0.7500, 0.7500)
Pt (0.9873, 0.9873, 0.0422)
Pt (0.5127, 0.5127, 0.4578)
Al (0.2500, 0.2500, 0.2500)

Electronic total energy in eV per atom: -5.22
Space-group type: No. 12
Crystal system: monoclinic
ΔE_f (raw) in eV/atom: -0.39
D(E_F) in states/eV per cell: 1.4
Mass density in g/cm³: 12.04
Total magnetic moment in μB/f.u.: 0.00

=====

Record 5
Entry from Alexandria: an optimized crystal structure of AlPt2Se (PBE).

Unit cell a=3.9248 b=5.2201 c=3.9913 alpha=67.81 beta=89.29 gamma=111.79
Fractional positions:
Se (0.0000, 0.5000, 0.5000)
Pt (0.0000, 0.0000, 0.0000)
Pt (0.5000, 0.0000, 0.5000)
Al (0.5000, 0.5000, 0.0000)

Electronic total energy in eV per atom: -5.11
Space-group type: No. 12
Crystal system: monoclinic
ΔE_f (raw) in eV/atom: -0.28
D(E_F) in states/eV per cell: 1.8
Mass density in g/cm³: 11.91
Total magnetic moment in μB/f.u.: 0.00

=====

Record 6
Entry from Alexandria: an optimized crystal structure of AlPt2Se (PBE).

Unit cell a=2.9559 b=2.9560 c=7.6192 alpha=90.00 beta=90.00 gamma=90.00
Fractional positions:
Se (0.0000, 0.0000, 0.4883)
Pt (0.0000, 0.0000, 0.9764)
Pt (0.5000, 0.5000, 0.2504)
Al (0.5000, 0.5000, 0.7849)

Electronic total energy in eV per atom: -4.99
Space-group type: No. 99
Crystal system: tetragonal
ΔE_f (raw) in eV/atom: -0.16
D(E_F) in states/eV per cell: 2.7
Mass density in g/cm³: 12.37
Total magnetic moment in μB/f.u.: 0.00

=====

Record 7
Entry from Alexandria: an optimized crystal structure of AlPt4Se (PBE).

Unit cell a=5.3043 b=5.3043 c=5.3043 alpha=60.00 beta=60.00 gamma=60.00
Fractional positions:
Al (0.0000, 0.0000, 0.0000)
Pt (0.8759, 0.3747, 0.3747)
Pt (0.3747, 0.3747, 0.8759)
Pt (0.3747, 0.8759, 0.3747)
Pt (0.3747, 0.3747, 0.3747)
Se (0.7500, 0.7500, 0.7500)

Electronic total energy in eV per atom: -5.05
Space-group type: No. 216
Crystal system: cubic
ΔE_f (raw) in eV/atom: 0.18
D(E_F) in states/eV per cell: 6.6
Mass density in g/cm³: 13.95
Total magnetic moment in μB/f.u.: 0.00

=====

Record 8
Entry from Alexandria: an optimized crystal structure of AlPt2Se (PBE).

Unit cell a=4.5440 b=4.5440 c=4.5440 alpha=60.00 beta=60.00 gamma=60.00
Fractional positions:
Se (0.7500, 0.7500, 0.7500)
Pt (0.0000, 0.0000, 0.0000)
Pt (0.2500, 0.2500, 0.2500)
Al (0.5000, 0.5000, 0.5000)

Electronic total energy in eV per atom: -4.87
Space-group type: No. 216
Crystal system: cubic
ΔE_f (raw) in eV/atom: -0.04
D(E_F) in states/eV per cell: 3.0
Mass density in g/cm³: 12.42
Total magnetic moment in μB/f.u.: 0.00